Density functional theory data (PBE) for crystalline Rb2TiAlTe5 at its relaxed geometry.

**Formation energy without anion corrections**: -0.696 eV/atom
**D(E_F)**: 15.3 states/eV/cell

Cell and atoms, written as CIF:
```
data_Rb2TiAlTe5
_symmetry_space_group_name_H-M 'C m c 21'
_symmetry_Int_Tables_number 36
_symmetry_space_group_name_Hall 'C 2c -2'
_cell_length_a 3.963
_cell_length_b 22.437
_cell_length_c 15.748
_cell_angle_alpha 90.00
_cell_angle_beta 90.00
_cell_angle_gamma 90.00
loop_
_atom_site_label
_atom_site_fract_x
_atom_site_fract_y
_atom_site_fract_z
Rb1 0.000 0.125 0.000
Rb2 0.000 0.139 0.372
Ti1 0.000 0.205 0.710
Al1 0.000 0.421 0.104
Te1 0.000 0.069 0.714
Te2 0.000 0.301 0.329
Te3 0.000 0.304 0.075
Te4 0.000 0.322 0.683
Te5 0.000 0.486 0.967
```